Here is a geometry-optimized NaPdC2 structure from Alexandria. Energies are from PBE-GGA.

Calculated values
The calculation puts the total energy at -17.7 eV per formula unit. Its mass density is 5.970 Mg/m³. For the energy of formation from the pure elements, the calculation gives 1.81 eV/atom.

a = 3.9225 Å, b = 3.9225 Å, c = 3.9225 Å
α = 60.00°, β = 60.00°, γ = 60.00°
With the nearest neighbours (Å) after each atom.
Positions (direct):
Na 0.0000 0.0000 0.0000  8 C 2.40
C 0.2500 0.2500 0.2500  4 Na 2.40, 4 Pd 2.40
C 0.7500 0.7500 0.7500  4 Na 2.40, 4 Pd 2.40
Pd 0.5000 0.5000 0.5000  8 C 2.40



Here is a geometry-optimized SrCe2UO8 structure from Alexandria. Energies are from PBE-GGA.

Calculated values
The calculation puts the total energy at -103.7 eV per formula unit. The raw formation energy is -315 kJ per mole of atoms. Its mass density is 7.359 Mg/m³.

a = 4.0302 Å, b = 5.4792 Å, c = 7.4988 Å
α = 90.00°, β = 90.00°, γ = 89.96°
With the nearest neighbours (Å) after each atom.
Positions (direct):
Sr 0.0000 0.0000 0.5000  8 O 2.51-2.53
Ce 0.5000 0.5000 0.7468  8 O 2.23-2.46
Ce 0.5000 0.5000 0.2532  8 O 2.23-2.46
U 0.0000 0.0000 0.0000  4 O 2.11
O 0.9997 0.7522 0.2154  1 U 2.11
O 0.4996 0.7681 0.0000  2 U 2.38, 2 Ce 2.40, 5 O 2.54-2.58
O 0.0003 0.2478 0.2154  1 U 2.11
O 0.0003 0.2478 0.7846  1 U 2.11
O 0.5004 0.2319 0.0000  2 U 2.38, 2 Ce 2.40, 5 O 2.54-2.58
O 0.9997 0.7522 0.7846  1 U 2.11
O 0.5000 0.7278 0.5000  2 Ce 2.23, 1 O 2.50
O 0.5000 0.2722 0.5000  2 Ce 2.23, 1 O 2.50



Here is a geometry-optimized La9PrTh2 structure from Alexandria. Energies are from PBE-GGA.

Calculated values
The calculation puts the total energy at -63.6 eV per formula unit. Its mass density is 7.290 Mg/m³. For the energy of formation from the pure elements, the calculation gives 0.03 eV/atom.

a = 5.1965 Å, b = 5.1965 Å, c = 15.6488 Å
α = 90.00°, β = 90.00°, γ = 90.00°
With the nearest neighbours (Å) after each atom.
Positions (direct):
La 0.5000 0.5000 0.0000  4 Pr 3.67, 8 La 3.75
La 0.5000 0.5000 0.3346  8 La 3.63-3.67, 4 Th 3.67
La 0.5000 0.5000 0.6654  8 La 3.63-3.67, 4 Th 3.67
La 0.5000 0.0000 0.1729  2 Th 3.62, 8 La 3.63-3.75, 2 Pr 3.75
La 0.5000 0.0000 0.5000  8 La 3.67, 4 Th 3.67
La 0.5000 0.0000 0.8271  2 Th 3.62, 8 La 3.63-3.75, 2 Pr 3.75
La 0.0000 0.5000 0.1729  2 Th 3.62, 8 La 3.63-3.75, 2 Pr 3.75
La 0.0000 0.5000 0.5000  8 La 3.67, 4 Th 3.67
La 0.0000 0.5000 0.8271  2 Th 3.62, 8 La 3.63-3.75, 2 Pr 3.75
Pr 0.0000 0.0000 0.0000  12 La 3.67-3.75
Th 0.0000 0.0000 0.3345  12 La 3.62-3.67
Th 0.0000 0.0000 0.6655  12 La 3.62-3.67



Here is a geometry-optimized LiNbPd4 structure from Alexandria. Energies are from PBE-GGA.

Calculated values
The calculation puts the total energy at -34.7 eV per formula unit. Its mass density is 9.469 Mg/m³. For the energy of formation from the pure elements, the calculation gives -0.32 eV/atom. The calculation puts the relative energy among the computed polymorphs at 0.028 eV/atom.

a = 4.9062 Å, b = 6.3768 Å, c = 8.2663 Å
α = 79.04°, β = 92.90°, γ = 133.08°
With the nearest neighbours (Å) after each atom.
Positions (direct):
Li 0.5000 0.5000 0.0000  10 Pd 2.72-2.93, 2 Nb 2.89
Li 0.0000 0.5000 0.5000  10 Pd 2.72-2.93, 2 Nb 2.89
Nb 0.2500 0.0000 0.2500  10 Pd 2.72-2.92, 2 Li 2.89
Nb 0.7500 0.0000 0.7500  10 Pd 2.72-2.92, 2 Li 2.89
Pd 0.9899 0.5004 0.1701  2 Nb 2.72, 3 Li 2.72-2.93, 7 Pd 2.75-2.89
Pd 0.5101 0.4996 0.3299  2 Nb 2.72, 3 Li 2.72-2.93, 7 Pd 2.75-2.89
Pd 0.0101 0.4996 0.8299  2 Nb 2.72, 3 Li 2.72-2.93, 7 Pd 2.75-2.89
Pd 0.4899 0.5004 0.6701  2 Nb 2.72, 3 Li 2.72-2.93, 7 Pd 2.75-2.89
Pd 0.2586 0.0003 0.5804  2 Li 2.72-2.73, 3 Nb 2.73-2.92, 7 Pd 2.78-2.89
Pd 0.2413 0.9997 0.9196  2 Li 2.72-2.73, 3 Nb 2.73-2.92, 7 Pd 2.78-2.89
Pd 0.7414 0.9997 0.4196  2 Li 2.72-2.73, 3 Nb 2.73-2.92, 7 Pd 2.78-2.89
Pd 0.7587 0.0003 0.0804  2 Li 2.72-2.73, 3 Nb 2.73-2.92, 7 Pd 2.78-2.89



Here is a geometry-optimized Pu8IrRh5 structure from Alexandria. Energies are from PBE-GGA.

Calculated values
The calculation puts the total energy at -165.8 eV per formula unit. Its mass density is 14.380 Mg/m³. For the energy of formation from the pure elements, the calculation gives -0.39 eV/atom.

a = 7.3608 Å, b = 7.3608 Å, c = 7.3608 Å
α = 109.45°, β = 109.52°, γ = 109.45°
With the nearest neighbours (Å) after each atom.
Positions (direct):
Pu 0.1226 0.7478 0.0130  5 Rh 2.82-3.08, 1 Ir 2.82
Pu 0.9870 0.1095 0.7348  5 Rh 2.82-3.08, 1 Ir 2.82
Pu 0.7686 0.2527 0.3793  5 Rh 2.82-3.09, 1 Ir 3.04
Pu 0.6207 0.3892 0.8734  5 Rh 2.82-3.09, 1 Ir 3.04
Pu 0.4841 0.6108 0.2314  5 Rh 2.82-3.09, 1 Ir 3.04
Pu 0.6253 0.8905 0.8774  5 Rh 2.82-3.08, 1 Ir 2.82
Pu 0.2652 0.2522 0.3747  5 Rh 2.82-3.08, 1 Ir 2.82
Pu 0.1266 0.7473 0.5159  5 Rh 2.82-3.09, 1 Ir 3.04
Ir 0.2500 0.5000 0.7500  8 Pu 2.82-3.04
Rh 0.9959 0.3730 0.1207  8 Pu 2.82-3.09
Rh 0.8793 0.8753 0.2523  8 Pu 2.82-3.09
Rh 0.7477 0.6270 0.6229  8 Pu 2.82-3.09
Rh 0.5000 0.0000 0.5000  8 Pu 2.83-3.08
Rh 0.3771 0.1247 0.0041  8 Pu 2.82-3.09



Here is a geometry-optimized La2OsC4 structure from Alexandria. Energies are from PBE-GGA.

Calculated values
The calculation puts the total energy at -58.9 eV per formula unit. Its mass density is 7.693 Mg/m³. For the energy of formation from the pure elements, the calculation gives -0.14 eV/atom.

a = 5.4941 Å, b = 7.0220 Å, c = 7.0220 Å
α = 69.17°, β = 66.97°, γ = 66.97°
With the nearest neighbours (Å) after each atom.
Positions (direct):
C 0.1207 0.2092 0.5495  1 C 1.37
C 0.8793 0.7908 0.4505  1 C 1.37
C 0.6207 0.5495 0.2092  1 C 1.37
C 0.3793 0.4505 0.7908  1 C 1.37
C 0.0721 0.0974 0.7585  1 C 1.37
C 0.9279 0.9026 0.2415  1 C 1.37
C 0.5721 0.7585 0.0974  1 C 1.37
C 0.4279 0.2415 0.9026  1 C 1.37
Os 0.2500 0.0000 0.0000  4 C 2.06
Os 0.7500 0.0000 0.0000  4 C 2.06
La 0.3488 0.8001 0.5024  7 C 2.56-2.82
La 0.6512 0.1999 0.4976  7 C 2.56-2.82
La 0.8488 0.5024 0.8001  7 C 2.56-2.82
La 0.1512 0.4976 0.1999  7 C 2.56-2.82



Here is a geometry-optimized LiTb3Pu3Se8 structure from Alexandria. Energies are from PBE-GGA.

Calculated values
The calculation puts the total energy at -110.9 eV per formula unit. The raw formation energy is -156 kJ per mole of atoms. Its mass density is 7.856 Mg/m³.

a = 8.2114 Å, b = 8.2125 Å, c = 8.1902 Å
α = 120.02°, β = 90.00°, γ = 120.00°
With the nearest neighbours (Å) after each atom.
Positions (direct):
Li 0.0000 0.0000 0.5000  6 Se 2.86-2.87
Tb 0.0000 0.0000 0.0000  6 Se 2.88-2.89
Tb 0.0000 0.5000 0.0000  6 Se 2.88-2.89
Tb 0.5000 0.5000 0.0000  6 Se 2.88-2.89
Pu 0.5000 0.0000 0.5000  6 Se 2.92
Pu 0.5000 0.5000 0.5000  6 Se 2.91-2.93
Pu 0.0000 0.5000 0.5000  6 Se 2.91-2.93
Se 0.2486 0.4972 0.2465  3 Tb 2.89, 3 Pu 2.91-2.92
Se 0.7514 0.5028 0.7535  3 Tb 2.89, 3 Pu 2.91-2.92
Se 0.7530 0.5059 0.2515  1 Li 2.87, 2 Tb 2.89, 2 Pu 2.91
Se 0.2470 0.4941 0.7485  1 Li 2.87, 2 Tb 2.89, 2 Pu 2.91
Se 0.7531 0.9954 0.2497  1 Li 2.86, 2 Tb 2.88, 2 Pu 2.92-2.93
Se 0.2469 0.0046 0.7503  1 Li 2.86, 2 Tb 2.88, 2 Pu 2.92-2.93
Se 0.2423 0.9954 0.2497  1 Li 2.86, 2 Tb 2.88, 2 Pu 2.92-2.93
Se 0.7577 0.0046 0.7503  1 Li 2.86, 2 Tb 2.88, 2 Pu 2.92-2.93



Here is a geometry-optimized La2Tb3Nd6Tm structure from Alexandria. Energies are from PBE-GGA.

Calculated values
The calculation puts the total energy at -56.6 eV per formula unit. Its mass density is 7.214 Mg/m³. For the energy of formation from the pure elements, the calculation gives 0.02 eV/atom.

a = 6.3251 Å, b = 6.3251 Å, c = 12.0743 Å
α = 95.03°, β = 95.03°, γ = 120.01°
With the nearest neighbours (Å) after each atom.
Positions (direct):
La 0.3333 0.6667 0.0000  3 La 3.65, 3 Tm 3.65, 6 Nd 3.68
La 0.6667 0.3333 0.0000  3 La 3.65, 3 Tm 3.65, 6 Nd 3.68
Tb 0.1662 0.8338 0.5000  6 Nd 3.60-3.62, 6 Tb 3.64-3.66
Tb 0.8338 0.1662 0.5000  6 Nd 3.60-3.62, 6 Tb 3.64-3.66
Tb 0.5000 0.5000 0.5000  6 Nd 3.61, 6 Tb 3.65-3.66
Nd 0.9154 0.5841 0.7466  3 Tb 3.61-3.62, 6 Nd 3.63-3.66, 1 Tm 3.67, 2 La 3.68
Nd 0.7531 0.7531 0.2538  3 Tb 3.60-3.61, 6 Nd 3.63-3.66, 1 Tm 3.68, 2 La 3.68
Nd 0.0846 0.4159 0.2534  3 Tb 3.61-3.62, 6 Nd 3.63-3.66, 1 Tm 3.67, 2 La 3.68
Nd 0.5841 0.9154 0.7466  3 Tb 3.61-3.62, 6 Nd 3.63-3.66, 1 Tm 3.67, 2 La 3.68
Nd 0.2469 0.2469 0.7462  3 Tb 3.60-3.61, 6 Nd 3.63-3.66, 1 Tm 3.68, 2 La 3.68
Nd 0.4159 0.0846 0.2534  3 Tb 3.61-3.62, 6 Nd 3.63-3.66, 1 Tm 3.67, 2 La 3.68
Tm 0.0000 0.0000 0.0000  6 La 3.65, 6 Nd 3.67-3.68



Here is a geometry-optimized ReW structure from Alexandria. Energies are from PBE-GGA.

Calculated values
The calculation puts the total energy at -25.0 eV per formula unit. Its mass density is 19.582 Mg/m³. For the energy of formation from the pure elements, the calculation gives 0.21 eV/atom. The calculation puts the relative energy among the computed polymorphs at 0.123 eV/atom.

a = 2.8257 Å, b = 2.8257 Å, c = 3.9300 Å
α = 90.00°, β = 90.00°, γ = 90.00°
With the nearest neighbours (Å) after each atom.
Positions (direct):
Re 0.0000 0.0000 0.0000  8 W 2.80, 4 Re 2.83
W 0.5000 0.5000 0.5000  8 Re 2.80, 4 W 2.83



Here is a geometry-optimized CaPa2Nb3N6 structure from Alexandria. Energies are from PBE-GGA.

Calculated values
The calculation puts the total energy at -116.6 eV per formula unit. The raw formation energy is -124 kJ per mole of atoms. Its mass density is 9.409 Mg/m³.

a = 3.3076 Å, b = 6.5992 Å, c = 7.3644 Å
α = 102.64°, β = 102.98°, γ = 90.00°
With the nearest neighbours (Å) after each atom.
Positions (direct):
Ca 0.5000 0.0000 0.0000  6 N 2.39-2.41
Pa 0.8346 0.6719 0.6693  6 N 2.33-2.44
Pa 0.1654 0.3281 0.3307  6 N 2.33-2.44
Nb 0.5000 0.5000 0.0000  6 N 2.24-2.26
Nb 0.8370 0.1786 0.6739  6 N 2.24-2.33
Nb 0.1630 0.8214 0.3261  6 N 2.24-2.33
N 0.3291 0.9304 0.6582  3 Nb 2.31-2.33, 2 Pa 2.39, 1 Ca 2.39
N 0.6600 0.5917 0.3200  3 Nb 2.24, 3 Pa 2.41-2.44
N 0.6709 0.0696 0.3418  3 Nb 2.31-2.33, 2 Pa 2.39, 1 Ca 2.39
N 0.9989 0.2658 0.9978  3 Nb 2.26-2.27, 1 Pa 2.33, 2 Ca 2.41
N 0.0011 0.7342 0.0022  3 Nb 2.26-2.27, 1 Pa 2.33, 2 Ca 2.41
N 0.3400 0.4083 0.6800  3 Nb 2.24, 3 Pa 2.41-2.44



Here is a geometry-optimized Dy2LuMn structure from Alexandria. Energies are from PBE-GGA.

Calculated values
The calculation puts the total energy at -22.0 eV per formula unit. Its mass density is 8.781 Mg/m³. For the energy of formation from the pure elements, the calculation gives 0.21 eV/atom. The calculation puts the relative energy among the computed polymorphs at 0.082 eV/atom.

a = 4.3955 Å, b = 4.8861 Å, c = 4.8861 Å
α = 90.00°, β = 90.00°, γ = 90.00°
With the nearest neighbours (Å) after each atom.
Positions (direct):
Lu 0.5000 0.5000 0.5000  8 Dy 3.29, 4 Mn 3.45
Mn 0.5000 0.0000 0.0000  8 Dy 3.29, 4 Lu 3.45
Dy 0.0000 0.0000 0.5000  4 Lu 3.29, 4 Mn 3.29, 4 Dy 3.45
Dy 0.0000 0.5000 0.0000  4 Mn 3.29, 4 Lu 3.29, 4 Dy 3.45



Here is a geometry-optimized Li3GePd2 structure from Alexandria. Energies are from PBE-GGA.

Calculated values
The calculation puts the total energy at -23.7 eV per formula unit. Its mass density is 5.980 Mg/m³. For the energy of formation from the pure elements, the calculation gives -0.49 eV/atom. The calculation puts the relative energy among the computed polymorphs at 0.045 eV/atom.

a = 3.8752 Å, b = 8.1007 Å, c = 7.0285 Å
α = 125.03°, β = 106.05°, γ = 89.95°
With the nearest neighbours (Å) after each atom.
Positions (direct):
Li 0.5000 0.2500 0.0000  4 Pd 2.64, 4 Li 2.68, 4 Ge 2.80
Li 0.5000 0.7500 0.0000  4 Pd 2.64, 4 Li 2.68, 4 Ge 2.80
Li 0.8287 0.0788 0.6573  4 Li 2.58-2.68, 2 Ge 2.74-2.75, 6 Pd 2.75-2.81
Li 0.1713 0.4212 0.3427  4 Li 2.58-2.68, 2 Ge 2.74-2.75, 6 Pd 2.75-2.81
Li 0.1713 0.9212 0.3427  4 Li 2.58-2.68, 2 Ge 2.74-2.75, 6 Pd 2.75-2.81
Li 0.8287 0.5788 0.6573  4 Li 2.58-2.68, 2 Ge 2.74-2.75, 6 Pd 2.75-2.81
Ge 0.0000 0.5000 0.0000  4 Pd 2.57, 8 Li 2.74-2.80
Ge 0.0000 0.0000 0.0000  4 Pd 2.57, 8 Li 2.74-2.80
Pd 0.3436 0.3439 0.6876  2 Ge 2.57, 8 Li 2.64-2.81, 2 Pd 2.81
Pd 0.6564 0.1561 0.3124  2 Ge 2.57, 8 Li 2.64-2.81, 2 Pd 2.81
Pd 0.3436 0.8439 0.6876  2 Ge 2.57, 8 Li 2.64-2.81, 2 Pd 2.81
Pd 0.6564 0.6561 0.3124  2 Ge 2.57, 8 Li 2.64-2.81, 2 Pd 2.81